Entry 1:
The following is a DFT calculation (PBE) of Ta2CrSb after structural relaxation.

The structure in POSCAR format:
```
Ta2CrSb
1.0
-1.6625 1.9579 1.6961
-2.5865 -1.3649 -0.9597
0.3513 -4.8222 5.9113
Cr Sb Ta
1 1 2
direct
0.5000 0.5000 0.2500 Cr
0.5000 0.5000 0.7500 Sb
0.0000 0.0000 0.0516 Ta
0.0000 0.0000 0.4484 Ta
```

Calculated values
The space-group type is P4/mmm. As for the final energy: -9.11 eV per atom. As for the uncorrected formation energy: 0.2527 eV/atom. The energy above the most stable polymorph in this dataset comes out at 121 meV per atom.

***

Entry 2:
The following is a DFT calculation (PBE) of TaCrSb after structural relaxation.

The structure in POSCAR format:
```
TaCrSb
1.0
6.5023 -0.0078 0.0061
5.5997 2.9071 0.0752
0.9026 -0.6342 2.8459
Cr Sb Ta
1 1 1
direct
0.0031 0.0031 0.9969 Cr
0.3414 0.3414 0.6586 Sb
0.6555 0.6555 0.3445 Ta
```

Calculated values
The space-group type is Fmm2. As for the final energy: -8.16 eV per atom. As for the uncorrected formation energy: 0.3774 eV/atom.

***

Entry 3:
The following is a DFT calculation (PBE) of TaCrSb after structural relaxation.

The structure in POSCAR format:
```
TaCrSb
1.0
5.1495 -0.0144 0.0005
2.9911 4.1918 -0.0005
-4.0706 -2.0882 2.3638
Cr Sb Ta
1 1 1
direct
0.9933 0.9933 0.0000 Cr
0.6608 0.6608 0.0000 Sb
0.3459 0.3459 0.0000 Ta
```

Calculated values
The space-group type is I4mm. As for the final energy: -8.27 eV per atom. As for the uncorrected formation energy: 0.2672 eV/atom.

***

Entry 4:
The following is a DFT calculation (PBE) of Ta2CrSb after structural relaxation.

The structure in POSCAR format:
```
Ta2CrSb
1.0
4.6360 0.0000 0.0000
2.3180 4.0149 0.0000
2.3180 1.3383 3.7853
Cr Sb Ta
1 1 2
direct
0.5000 0.5000 0.5000 Cr
0.7500 0.7500 0.7500 Sb
0.0000 0.0000 0.0000 Ta
0.2500 0.2500 0.2500 Ta
```

Calculated values
The space-group type is F-43m. As for the final energy: -9.07 eV per atom. As for the uncorrected formation energy: 0.2962 eV/atom. The energy above the most stable polymorph in this dataset comes out at 164 meV per atom.

***

Entry 5:
The following is a DFT calculation (PBE) of Ta2CrSb after structural relaxation.

The structure in POSCAR format:
```
Ta2CrSb
1.0
3.4491 0.0000 0.0000
0.0000 3.4491 0.0000
0.0000 0.0000 6.0072
Cr Sb Ta
1 1 2
direct
0.0000 0.0000 0.4904 Cr
0.5000 0.5000 0.7449 Sb
0.0000 0.0000 0.0052 Ta
0.5000 0.5000 0.2595 Ta
```

Calculated values
The space-group type is P4mm. As for the final energy: -9.23 eV per atom. As for the uncorrected formation energy: 0.1355 eV/atom. The energy above the most stable polymorph in this dataset comes out at 4 meV per atom.

***

Entry 6:
The following is a DFT calculation (PBE) of Ta2CrSb after structural relaxation.

The structure in POSCAR format:
```
Ta2CrSb
1.0
-6.1117 6.0101 1.9695
-7.3275 4.8212 -0.6466
-7.8329 3.4104 2.0902
Cr Sb Ta
1 1 2
direct
0.5036 0.5036 0.5036 Cr
0.7568 0.7568 0.7568 Sb
0.9978 0.9978 0.9978 Ta
0.2418 0.2418 0.2418 Ta
```

Calculated values
The space-group type is R3m. As for the final energy: -8.98 eV per atom. As for the uncorrected formation energy: 0.3798 eV/atom. The energy above the most stable polymorph in this dataset comes out at 248 meV per atom.

***

Q: Among the records above, which one has the highest final energy?
A: number 2

***

Q: The lowest final energy belongs to which entry?
A: number 5

***

Q: Which formula does entry 1 have?
A: Ta2CrSb

***

Q: Which value of final energy does entry 4 give?
A: -9.07 eV per atom